Record 1
# PBEsol ZrRe2Sb, relaxed
data_ZrRe2Sb
_space_group_name_H-M_alt 'I m m 2'
_space_group_IT_number 44
_cell_length_a 3.3235
_cell_length_b 4.4207
_cell_length_c 9.3020
_cell_angle_alpha 90.00
_cell_angle_beta 90.00
_cell_angle_gamma 90.00
loop_
_space_group_symop_operation_xyz
'x,y,z'
'-x,-y,z'
'-x,y,z'
'x,-y,z'
'x+1/2,y+1/2,z+1/2'
'-x+1/2,-y+1/2,z+1/2'
'-x+1/2,y+1/2,z+1/2'
'x+1/2,-y+1/2,z+1/2'
loop_
_atom_site_label
_atom_site_fract_x
_atom_site_fract_y
_atom_site_fract_z
Zr1 0.0000 0.0000 0.0000
Re1 0.0000 0.0000 0.4951
Re2 0.0000 0.5000 0.7549
Sb1 0.0000 0.5000 0.2378
# Formation energy (no corrections) = 0.10 eV per atom
# Uncorrected energy = -9.982 eV/atom

---

Record 2
# PBEsol CrMo2Pb, relaxed
data_CrMo2Pb
_space_group_name_H-M_alt 'C m m 2'
_space_group_IT_number 35
_cell_length_a 3.2426
_cell_length_b 4.7474
_cell_length_c 8.6293
_cell_angle_alpha 90.00
_cell_angle_beta 90.00
_cell_angle_gamma 90.00
loop_
_space_group_symop_operation_xyz
'x,y,z'
'-x,-y,z'
'-x,y,z'
'x,-y,z'
'x+1/2,y+1/2,z'
'-x+1/2,-y+1/2,z'
'-x+1/2,y+1/2,z'
'x+1/2,-y+1/2,z'
loop_
_atom_site_label
_atom_site_fract_x
_atom_site_fract_y
_atom_site_fract_z
Cr1 0.0000 0.0000 0.0000
Mo1 0.0000 0.0000 0.5465
Mo2 0.0000 0.5000 0.7857
Pb1 0.0000 0.5000 0.2642
# ΔE_f = 0.63 eV/atom
# Uncorrected energy = -8.810 eV/atom

---

Record 3
# PBEsol AgSnSe2Cl, relaxed
data_AgSnSe2Cl
_space_group_name_H-M_alt 'P 4/m m m'
_space_group_IT_number 123
_space_group_name_Hall '-P 4 2'
_cell_length_a 5.1890
_cell_length_b 5.1890
_cell_length_c 4.6455
_cell_angle_alpha 90.00
_cell_angle_beta 90.00
_cell_angle_gamma 90.00
loop_
_atom_site_label
_atom_site_fract_x
_atom_site_fract_y
_atom_site_fract_z
Ag1 0.0000 0.0000 0.0000
Sn1 0.5000 0.5000 0.0000
Se1 0.0000 0.5000 0.5000
Cl1 0.0000 0.0000 0.5000
# Formation energy (no corrections) = 0.46 eV per atom
# Uncorrected energy = -2.999 eV/atom

---

Record 4
# PBEsol AgAu2Se, relaxed
data_AgAu2Se
_space_group_name_H-M_alt 'P 4/m m m'
_space_group_IT_number 123
_space_group_name_Hall '-P 4 2'
_cell_length_a 2.7829
_cell_length_b 2.7829
_cell_length_c 9.2040
_cell_angle_alpha 90.00
_cell_angle_beta 90.00
_cell_angle_gamma 90.00
loop_
_atom_site_label
_atom_site_fract_x
_atom_site_fract_y
_atom_site_fract_z
Ag1 0.0000 0.0000 0.0000
Au1 0.5000 0.5000 0.2315
Se1 0.0000 0.0000 0.5000
# Formation energy (no corrections) = 0.14 eV per atom
# Uncorrected energy = -3.616 eV/atom

---

Record 5
# PBEsol AsIr2PbI, relaxed
data_AsIr2PbI
_space_group_name_H-M_alt 'P 4/m m m'
_space_group_IT_number 123
_space_group_name_Hall '-P 4 2'
_cell_length_a 4.8107
_cell_length_b 4.8107
_cell_length_c 5.8270
_cell_angle_alpha 90.00
_cell_angle_beta 90.00
_cell_angle_gamma 90.00
loop_
_atom_site_label
_atom_site_fract_x
_atom_site_fract_y
_atom_site_fract_z
As1 0.0000 0.0000 0.0000
Ir1 0.0000 0.5000 0.5000
Pb1 0.5000 0.5000 0.0000
I1 0.5000 0.5000 0.5000
# Formation energy (no corrections) = 1.86 eV per atom
# Uncorrected energy = -4.242 eV/atom

---

Record 6
# PBEsol Y2Zr, relaxed
data_Y2Zr
_space_group_name_H-M_alt 'P -6 2 m'
_space_group_IT_number 189
_space_group_name_Hall 'P -6 -2'
_cell_length_a 9.1214
_cell_length_b 9.1214
_cell_length_c 3.4003
_cell_angle_alpha 90.00
_cell_angle_beta 90.00
_cell_angle_gamma 120.00
loop_
_atom_site_label
_atom_site_fract_x
_atom_site_fract_y
_atom_site_fract_z
Y1 0.0000 0.2994 0.0000
Y2 0.0000 0.6358 0.5000
Zr1 0.0000 0.0000 0.5000
Zr2 0.3333 0.6667 0.0000
# ΔE_f = 0.09 eV/atom
# Uncorrected energy = -7.484 eV/atom
# Energy relative to the lowest polymorph listed for this composition = 9 meV/atom